(1)
{
  "formula": "Cr2RuPt",
  "functional": "PBE",
  "state": "relaxed",
  "sg": "No. 166",
  "magmom_total_mub_per_fu": 0.01,
  "delta_e_f_ev_per_atom": 0.068,
  "lattice": [[1.332, 0.769, 8.718], [-1.332, 0.769, 8.718], [0.000, -1.538, 8.718]],
  "species": ["Cr", "Cr", "Ru", "Pt"],
  "fractional_positions": [[0.248, 0.248, 0.248], [0.752, 0.752, 0.752], [0.500, 0.500, 0.500], [0.000, 0.000, 0.000]]
}

***

(2)
{
  "formula": "CrRu2Pt",
  "functional": "PBE",
  "state": "relaxed",
  "sg": "No. 12",
  "magmom_total_mub_per_fu": 0.47,
  "delta_e_f_ev_per_atom": 0.002,
  "lattice": [[4.471, -1.347, 0.000], [4.471, 1.347, 0.000], [-0.903, 0.000, 4.602]],
  "species": ["Cr", "Ru", "Ru", "Pt"],
  "fractional_positions": [[0.000, 0.000, 0.000], [0.259, 0.259, 0.767], [0.741, 0.741, 0.233], [0.500, 0.500, 0.500]]
}

***

(3)
{
  "formula": "Cr2Ru2Pt",
  "functional": "PBE",
  "state": "relaxed",
  "sg": "No. 139",
  "magmom_total_mub_per_fu": 0.00,
  "delta_e_f_ev_per_atom": 0.375,
  "lattice": [[-1.908, 1.908, 5.044], [1.908, -1.908, 5.044], [1.908, 1.908, -5.044]],
  "species": ["Cr", "Cr", "Ru", "Ru", "Pt"],
  "fractional_positions": [[0.106, 0.106, 0.000], [0.894, 0.894, 0.000], [0.250, 0.750, 0.500], [0.750, 0.250, 0.500], [0.500, 0.500, 0.000]]
}

***

(4)
{
  "formula": "CrRu2Pt",
  "functional": "PBE",
  "state": "relaxed",
  "sg": "No. 119",
  "magmom_total_mub_per_fu": 1.08,
  "delta_e_f_ev_per_atom": -0.040,
  "lattice": [[-1.907, 1.907, 3.820], [1.907, -1.907, 3.820], [1.907, 1.907, -3.820]],
  "species": ["Cr", "Ru", "Ru", "Pt"],
  "fractional_positions": [[0.000, 0.000, 0.000], [0.500, 0.500, 0.000], [0.750, 0.250, 0.500], [0.250, 0.750, 0.500]]
}

***

(5)
{
  "formula": "Cr2RuPt",
  "functional": "PBE",
  "state": "relaxed",
  "sg": "No. 8",
  "magmom_total_mub_per_fu": 0.39,
  "delta_e_f_ev_per_atom": -0.002,
  "lattice": [[4.428, -1.354, 0.000], [4.428, 1.354, 0.000], [-0.944, 0.000, 4.512]],
  "species": ["Cr", "Cr", "Ru", "Pt"],
  "fractional_positions": [[0.000, 0.000, 0.000], [0.738, 0.738, 0.260], [0.485, 0.485, 0.465], [0.245, 0.245, 0.761]]
}

***

(6)
{
  "formula": "TlCrRu2Pt",
  "functional": "PBE",
  "state": "relaxed",
  "sg": "No. 123",
  "magmom_total_mub_per_fu": 0.34,
  "delta_e_f_ev_per_atom": 2.604,
  "lattice": [[4.901, 0.000, 0.000], [0.000, 4.901, 0.000], [0.000, 0.000, 4.904]],
  "species": ["Tl", "Cr", "Ru", "Ru", "Pt"],
  "fractional_positions": [[0.000, 0.000, 0.000], [0.500, 0.500, 0.500], [0.000, 0.500, 0.000], [0.500, 0.000, 0.000], [0.000, 0.000, 0.500]]
}

***

(7)
{
  "formula": "CrPtS2",
  "functional": "PBE",
  "state": "relaxed",
  "sg": "No. 122",
  "magmom_total_mub_per_fu": 2.00,
  "formation_energy_uncorrected_mev_per_atom": -238,
  "lattice": [[-2.646, 2.646, 5.415], [2.646, -2.646, 5.415], [2.646, 2.646, -5.415]],
  "species": ["Cr", "Cr", "Pt", "Pt", "S", "S", "S", "S"],
  "fractional_positions": [[0.000, 0.000, 0.000], [0.750, 0.250, 0.500], [0.250, 0.750, 0.500], [0.500, 0.500, 0.000], [0.106, 0.625, 0.981], [0.375, 0.356, 0.481], [0.644, 0.125, 0.019], [0.875, 0.894, 0.519]]
}

***

(8)
{
  "formula": "CrPt3S",
  "functional": "PBE",
  "state": "relaxed",
  "sg": "No. 221",
  "magmom_total_mub_per_fu": 0.00,
  "formation_energy_uncorrected_mev_per_atom": 1227,
  "lattice": [[4.589, 0.000, 0.000], [0.000, 4.589, 0.000], [0.000, 0.000, 4.589]],
  "species": ["Cr", "Pt", "Pt", "Pt", "S"],
  "fractional_positions": [[0.000, 0.000, 0.000], [0.000, 0.000, 0.500], [0.000, 0.500, 0.000], [0.500, 0.000, 0.000], [0.500, 0.500, 0.500]]
}

***

(9)
{
  "formula": "CrPt3S",
  "functional": "PBE",
  "state": "relaxed",
  "sg": "No. 221",
  "magmom_total_mub_per_fu": 4.35,
  "formation_energy_uncorrected_mev_per_atom": 393,
  "lattice": [[4.501, 0.000, 0.000], [0.000, 4.501, 0.000], [0.000, 0.000, 4.501]],
  "species": ["Cr", "Pt", "Pt", "Pt", "S"],
  "fractional_positions": [[0.000, 0.000, 0.000], [0.000, 0.500, 0.500], [0.500, 0.000, 0.500], [0.500, 0.500, 0.000], [0.500, 0.500, 0.500]]
}

***

(10)
{
  "formula": "CrPt2S2",
  "functional": "PBE",
  "state": "relaxed",
  "sg": "No. 139",
  "magmom_total_mub_per_fu": 3.85,
  "formation_energy_uncorrected_mev_per_atom": 427,
  "lattice": [[-1.900, 1.900, 5.957], [1.900, -1.900, 5.957], [1.900, 1.900, -5.957]],
  "species": ["Cr", "Pt", "Pt", "S", "S"],
  "fractional_positions": [[0.000, 0.000, 0.000], [0.250, 0.750, 0.500], [0.750, 0.250, 0.500], [0.395, 0.395, 0.000], [0.605, 0.605, 0.000]]
}

***

(11)
{
  "formula": "CrPtS2",
  "functional": "PBE",
  "state": "relaxed",
  "sg": "No. 225",
  "magmom_total_mub_per_fu": 0.00,
  "formation_energy_uncorrected_mev_per_atom": 329,
  "lattice": [[0.000, 3.021, 3.021], [3.021, 0.000, 3.021], [3.021, 3.021, 0.000]],
  "species": ["Cr", "Pt", "S", "S"],
  "fractional_positions": [[0.000, 0.000, 0.000], [0.500, 0.500, 0.500], [0.250, 0.250, 0.250], [0.750, 0.750, 0.750]]
}

***

(12)
{
  "formula": "Cr2Pt4S",
  "functional": "PBE",
  "state": "relaxed",
  "sg": "No. 139",
  "magmom_total_mub_per_fu": 7.78,
  "formation_energy_uncorrected_mev_per_atom": 550,
  "lattice": [[-2.234, 2.234, 6.486], [2.234, -2.234, 6.486], [2.234, 2.234, -6.486]],
  "species": ["Cr", "Cr", "Pt", "Pt", "Pt", "Pt", "S"],
  "fractional_positions": [[0.129, 0.129, 0.000], [0.871, 0.871, 0.000], [0.000, 0.500, 0.500], [0.319, 0.319, 0.000], [0.500, 0.000, 0.500], [0.681, 0.681, 0.000], [0.500, 0.500, 0.000]]
}

***

(13)
{
  "formula": "CrPt2S2",
  "functional": "PBE",
  "state": "relaxed",
  "sg": "No. 127",
  "magmom_total_mub_per_fu": 0.00,
  "formation_energy_uncorrected_mev_per_atom": -85,
  "lattice": [[5.807, 0.000, 0.000], [0.000, 5.807, 0.000], [0.000, 0.000, 4.525]],
  "species": ["Cr", "Cr", "Pt", "Pt", "Pt", "Pt", "S", "S", "S", "S"],
  "fractional_positions": [[0.000, 0.000, 0.000], [0.500, 0.500, 0.000], [0.217, 0.283, 0.500], [0.283, 0.783, 0.500], [0.717, 0.217, 0.500], [0.783, 0.717, 0.500], [0.151, 0.349, 0.000], [0.349, 0.849, 0.000], [0.651, 0.151, 0.000], [0.849, 0.651, 0.000]]
}

***

(14)
{
  "formula": "CrPt2S2",
  "functional": "PBE",
  "state": "relaxed",
  "sg": "No. 127",
  "magmom_total_mub_per_fu": 3.96,
  "formation_energy_uncorrected_mev_per_atom": 252,
  "lattice": [[6.953, 0.000, 0.000], [0.000, 6.953, 0.000], [0.000, 0.000, 3.454]],
  "species": ["Cr", "Cr", "Pt", "Pt", "Pt", "Pt", "S", "S", "S", "S"],
  "fractional_positions": [[0.000, 0.000, 0.000], [0.500, 0.500, 0.000], [0.138, 0.362, 0.000], [0.362, 0.862, 0.000], [0.638, 0.138, 0.000], [0.862, 0.638, 0.000], [0.195, 0.695, 0.500], [0.305, 0.195, 0.500], [0.695, 0.805, 0.500], [0.805, 0.305, 0.500]]
}

***

(15)
{
  "formula": "CrPt2S2",
  "functional": "PBE",
  "state": "relaxed",
  "sg": "No. 139",
  "magmom_total_mub_per_fu": 3.66,
  "formation_energy_uncorrected_mev_per_atom": 390,
  "lattice": [[-2.000, 2.000, 5.471], [2.000, -2.000, 5.471], [2.000, 2.000, -5.471]],
  "species": ["Cr", "Pt", "Pt", "S", "S"],
  "fractional_positions": [[0.000, 0.000, 0.000], [0.382, 0.382, 0.000], [0.618, 0.618, 0.000], [0.250, 0.750, 0.500], [0.750, 0.250, 0.500]]
}

***

(16)
{
  "formula": "YCrPtS2",
  "functional": "PBE",
  "state": "relaxed",
  "sg": "No. 123",
  "magmom_total_mub_per_fu": 4.77,
  "formation_energy_uncorrected_mev_per_atom": 355,
  "lattice": [[4.799, 0.000, 0.000], [0.000, 4.799, 0.000], [0.000, 0.000, 5.217]],
  "species": ["Y", "Cr", "Pt", "S", "S"],
  "fractional_positions": [[0.000, 0.000, 0.000], [0.500, 0.500, 0.000], [0.000, 0.000, 0.500], [0.000, 0.500, 0.500], [0.500, 0.000, 0.500]]
}

***

(17)
{
  "formula": "ZnCr2PtS",
  "functional": "PBE",
  "state": "relaxed",
  "sg": "No. 123",
  "magmom_total_mub_per_fu": 9.31,
  "formation_energy_uncorrected_mev_per_atom": 790,
  "lattice": [[5.110, 0.000, 0.000], [0.000, 5.110, 0.000], [0.000, 0.000, 4.448]],
  "species": ["Zn", "Cr", "Cr", "Pt", "S"],
  "fractional_positions": [[0.000, 0.000, 0.000], [0.000, 0.500, 0.500], [0.500, 0.000, 0.500], [0.500, 0.500, 0.500], [0.500, 0.500, 0.000]]
}

***

(18)
{
  "formula": "CrSbPt2",
  "functional": "PBE",
  "state": "relaxed",
  "sg": "No. 160",
  "magmom_total_mub_per_fu": 3.49,
  "formation_energy_uncorrected_mev_per_atom": 214,
  "lattice": [[1.552, 0.896, 8.421], [-1.552, 0.896, 8.421], [0.000, -1.793, 8.421]],
  "species": ["Cr", "Sb", "Pt", "Pt"],
  "fractional_positions": [[0.000, 0.000, 0.000], [0.753, 0.753, 0.753], [0.258, 0.258, 0.258], [0.502, 0.502, 0.502]]
}

***

(19)
{
  "formula": "CrSbPt2",
  "functional": "PBE",
  "state": "relaxed",
  "sg": "No. 122",
  "magmom_total_mub_per_fu": 0.00,
  "formation_energy_uncorrected_mev_per_atom": 409,
  "lattice": [[-2.936, 2.936, 5.399], [2.936, -2.936, 5.399], [2.936, 2.936, -5.399]],
  "species": ["Cr", "Cr", "Sb", "Sb", "Pt", "Pt", "Pt", "Pt"],
  "fractional_positions": [[0.000, 0.000, 0.000], [0.750, 0.250, 0.500], [0.250, 0.750, 0.500], [0.500, 0.500, 0.000], [0.085, 0.625, 0.960], [0.375, 0.335, 0.460], [0.665, 0.125, 0.040], [0.875, 0.915, 0.540]]
}

***

(20)
{
  "formula": "CrSb2Pt9",
  "functional": "PBE",
  "state": "relaxed",
  "sg": "No. 123",
  "magmom_total_mub_per_fu": 4.08,
  "formation_energy_uncorrected_mev_per_atom": -204,
  "lattice": [[4.009, 0.000, 0.000], [0.000, 4.009, 0.000], [0.000, 0.000, 12.268]],
  "species": ["Cr", "Sb", "Sb", "Pt", "Pt", "Pt", "Pt", "Pt", "Pt", "Pt", "Pt", "Pt"],
  "fractional_positions": [[0.000, 0.000, 0.000], [0.000, 0.000, 0.320], [0.000, 0.000, 0.680], [0.000, 0.500, 0.159], [0.000, 0.500, 0.500], [0.000, 0.500, 0.841], [0.500, 0.000, 0.159], [0.500, 0.000, 0.500], [0.500, 0.000, 0.841], [0.500, 0.500, 0.000], [0.500, 0.500, 0.335], [0.500, 0.500, 0.665]]
}

***

(21)
{
  "formula": "CrSbPt2",
  "functional": "PBE",
  "state": "relaxed",
  "sg": "No. 123",
  "magmom_total_mub_per_fu": 3.28,
  "formation_energy_uncorrected_mev_per_atom": -164,
  "lattice": [[4.089, 0.000, 0.000], [0.000, 4.089, 0.000], [0.000, 0.000, 4.001]],
  "species": ["Cr", "Sb", "Pt", "Pt"],
  "fractional_positions": [[0.000, 0.000, 0.000], [0.500, 0.500, 0.000], [0.000, 0.500, 0.500], [0.500, 0.000, 0.500]]
}

***

(22)
{
  "formula": "CrSbPt2",
  "functional": "PBE",
  "state": "relaxed",
  "sg": "No. 99",
  "magmom_total_mub_per_fu": 3.88,
  "formation_energy_uncorrected_mev_per_atom": -68,
  "lattice": [[3.602, 0.000, 0.000], [0.000, 3.602, 0.000], [0.000, 0.000, 5.482]],
  "species": ["Cr", "Sb", "Pt", "Pt"],
  "fractional_positions": [[0.000, 0.000, 0.000], [0.500, 0.500, 0.677], [0.000, 0.000, 0.486], [0.500, 0.500, 0.172]]
}

***

(23)
{
  "formula": "CrSbPt2",
  "functional": "PBE",
  "state": "relaxed",
  "sg": "No. 139",
  "magmom_total_mub_per_fu": 3.59,
  "formation_energy_uncorrected_mev_per_atom": -124,
  "lattice": [[-2.051, 2.051, 4.011], [2.051, -2.051, 4.011], [2.051, 2.051, -4.011]],
  "species": ["Cr", "Sb", "Pt", "Pt"],
  "fractional_positions": [[0.000, 0.000, 0.000], [0.500, 0.500, 0.000], [0.250, 0.750, 0.500], [0.750, 0.250, 0.500]]
}

***

(24)
{
  "formula": "CrSbPt2",
  "functional": "PBE",
  "state": "relaxed",
  "sg": "No. 166",
  "magmom_total_mub_per_fu": 3.16,
  "formation_energy_uncorrected_mev_per_atom": 104,
  "lattice": [[1.532, 0.884, 8.632], [-1.532, 0.884, 8.632], [0.000, -1.769, 8.632]],
  "species": ["Cr", "Sb", "Pt", "Pt"],
  "fractional_positions": [[0.000, 0.000, 0.000], [0.500, 0.500, 0.500], [0.257, 0.257, 0.257], [0.743, 0.743, 0.743]]
}

***

(25)
{
  "formula": "CrSbPt",
  "functional": "PBE",
  "state": "relaxed",
  "sg": "No. 44",
  "magmom_total_mub_per_fu": 3.82,
  "formation_energy_uncorrected_mev_per_atom": 36,
  "lattice": [[-1.754, 1.915, 4.078], [1.754, -1.915, 4.078], [1.754, 1.915, -4.078]],
  "species": ["Cr", "Sb", "Pt"],
  "fractional_positions": [[0.000, 0.000, 0.000], [0.325, 0.325, 0.000], [0.653, 0.653, 0.000]]
}

***

(26)
{
  "formula": "Cr3SbPt",
  "functional": "PBE",
  "state": "relaxed",
  "sg": "No. 221",
  "magmom_total_mub_per_fu": 12.22,
  "formation_energy_uncorrected_mev_per_atom": 913,
  "lattice": [[4.886, 0.000, 0.000], [0.000, 4.886, 0.000], [0.000, 0.000, 4.886]],
  "species": ["Cr", "Cr", "Cr", "Sb", "Pt"],
  "fractional_positions": [[0.000, 0.000, 0.500], [0.000, 0.500, 0.000], [0.500, 0.000, 0.000], [0.500, 0.500, 0.500], [0.000, 0.000, 0.000]]
}

***

(27)
{
  "formula": "CrSb4Pt",
  "functional": "PBE",
  "state": "relaxed",
  "sg": "No. 216",
  "magmom_total_mub_per_fu": 4.01,
  "formation_energy_uncorrected_mev_per_atom": 798,
  "lattice": [[0.000, 4.273, 4.273], [4.273, 0.000, 4.273], [4.273, 4.273, 0.000]],
  "species": ["Cr", "Sb", "Sb", "Sb", "Sb", "Pt"],
  "fractional_positions": [[0.000, 0.000, 0.000], [0.375, 0.375, 0.375], [0.375, 0.375, 0.874], [0.375, 0.874, 0.375], [0.874, 0.375, 0.375], [0.750, 0.750, 0.750]]
}

***

(28)
{
  "formula": "CrSbPt3",
  "functional": "PBE",
  "state": "relaxed",
  "sg": "No. 221",
  "magmom_total_mub_per_fu": 0.00,
  "formation_energy_uncorrected_mev_per_atom": 712,
  "lattice": [[4.647, 0.000, 0.000], [0.000, 4.647, 0.000], [0.000, 0.000, 4.647]],
  "species": ["Cr", "Sb", "Pt", "Pt", "Pt"],
  "fractional_positions": [[0.000, 0.000, 0.000], [0.500, 0.500, 0.500], [0.000, 0.000, 0.500], [0.000, 0.500, 0.000], [0.500, 0.000, 0.000]]
}